Compound: CeHfP2Rh5
Source: Alexandria
Functional: PBE-GGA
Structure: relaxed

Properties
E_tot: -7.859 eV/atom
formation enthalpy at 0 K: -0.8074 eV/atom

Lattice parameters (Å, degrees): 4.0450 4.0450 10.2720 90.00 90.00 90.00
Space group P4/mmm (No. 123)
Unique sites:
Ce1 0.0000 0.0000 0.0000 x1
Hf1 0.0000 0.0000 0.5000 x1
P1 0.5000 0.5000 0.2222 x2
Rh1 0.0000 0.5000 0.3224 x4
Rh2 0.5000 0.5000 0.0000 x1